This record from the Alexandria database describes a relaxed NaHo2AgSe4 crystal. The functional is PBE.

a = 7.140 Å, b = 4.129 Å, c = 7.211 Å
α = 90.00°, β = 109.81°, γ = 90.00°
Element x y z (fractional)
Na  0.000  0.000  0.000
Ho  0.000  0.500  0.500
Ho  0.500  0.000  0.500
Ag  0.500  0.500  0.000
Se  0.249  0.000  0.738
Se  0.255  0.500  0.266
Se  0.745  0.500  0.734
Se  0.751  0.000  0.262

Computed properties:
N(E_F) (states/eV per cell): 0.000
Final energy (eV per atom): -4.838
Total magnetic moment (μB/f.u.): 0.00
Uncorrected formation energy (meV per atom): -1430

---

This record from the Alexandria database describes a relaxed CeHoAgRu crystal. The functional is PBE.

a = 5.002 Å, b = 5.002 Å, c = 5.002 Å
α = 60.00°, β = 60.00°, γ = 60.00°
Element x y z (fractional)
Ce  0.000  0.000  0.000
Ho  0.500  0.500  0.500
Ag  0.750  0.750  0.750
Ru  0.250  0.250  0.250

Computed properties:
N(E_F) (states/eV per cell): 7.443
Final energy (eV per atom): -5.897
Energy relative to the elements (eV per atom): -0.237
Total magnetic moment (μB/f.u.): 0.46

---

This record from the Alexandria database describes a relaxed Ca3PBr crystal. The functional is PBE.

a = 5.553 Å, b = 5.553 Å, c = 5.553 Å
α = 90.00°, β = 90.00°, γ = 90.00°
Element x y z (fractional)
Ca  0.000  0.000  0.500
Ca  0.000  0.500  0.000
Ca  0.500  0.000  0.000
P  0.000  0.000  0.000
Br  0.500  0.500  0.500

Computed properties:
Excess energy over the best structure of this formula in the dataset (eV/f.u.): 0.000
N(E_F) (states/eV per cell): 2.268
Final energy (eV per atom): -3.442
Total magnetic moment (μB/f.u.): 0.00
Uncorrected formation energy (meV per atom): -824

---

This record from the Alexandria database describes a relaxed Tb5Sm3Tm crystal. The functional is PBE.

a = 9.526 Å, b = 9.526 Å, c = 9.906 Å
α = 120.99°, β = 120.99°, γ = 73.96°
Element x y z (fractional)
Tb  0.093  0.597  0.254
Tb  0.222  0.222  0.230
Tb  0.244  0.756  0.000
Tb  0.277  0.277  0.960
Tb  0.403  0.907  0.746
Tb  0.597  0.093  0.254
Tb  0.723  0.723  0.040
Tb  0.756  0.244  0.000
Tb  0.778  0.778  0.770
Tb  0.907  0.403  0.746
Sm  0.000  0.000  0.500
Sm  0.008  0.008  0.814
Sm  0.481  0.481  0.642
Sm  0.500  0.500  0.000
Sm  0.519  0.519  0.358
Sm  0.992  0.992  0.186
Tm  0.251  0.251  0.600
Tm  0.749  0.749  0.400

Computed properties:
Excess energy over the best structure of this formula in the dataset (eV/f.u.): 3.193
N(E_F) (states/eV per cell): 25.378
Final energy (eV per atom): -4.122
Energy relative to the elements (eV per atom): 0.520
Total magnetic moment (μB/f.u.): 0.00

---

This record from the Alexandria database describes a relaxed AcPr2Y6Er3 crystal. The functional is PBE.

a = 6.276 Å, b = 6.276 Å, c = 11.918 Å
α = 95.03°, β = 95.03°, γ = 119.98°
Element x y z (fractional)
Ac  0.000  0.000  0.000
Pr  0.333  0.667  0.000
Pr  0.667  0.333  0.000
Y  0.086  0.422  0.257
Y  0.249  0.249  0.743
Y  0.422  0.086  0.257
Y  0.578  0.914  0.743
Y  0.751  0.751  0.257
Y  0.914  0.578  0.743
Er  0.167  0.833  0.500
Er  0.500  0.500  0.500
Er  0.833  0.167  0.500

Computed properties:
N(E_F) (states/eV per cell): 17.346
Final energy (eV per atom): -5.479
Energy relative to the elements (eV per atom): 0.033
Total magnetic moment (μB/f.u.): 0.00

---

This record from the Alexandria database describes a relaxed SnP3C crystal. The functional is PBE.

a = 4.211 Å, b = 4.211 Å, c = 4.211 Å
α = 90.00°, β = 90.00°, γ = 90.00°
Element x y z (fractional)
Sn  0.000  0.000  0.000
P  0.000  0.500  0.500
P  0.500  0.000  0.500
P  0.500  0.500  0.000
C  0.500  0.500  0.500

Computed properties:
Excess energy over the best structure of this formula in the dataset (eV/f.u.): 0.000
N(E_F) (states/eV per cell): 3.064
Final energy (eV per atom): -4.849
Energy relative to the elements (eV per atom): 1.042
Total magnetic moment (μB/f.u.): 0.00

---

Copy entry 4 word for word.
This record from the Alexandria database describes a relaxed Tb5Sm3Tm crystal. The functional is PBE.

a = 9.526 Å, b = 9.526 Å, c = 9.906 Å
α = 120.99°, β = 120.99°, γ = 73.96°
Element x y z (fractional)
Tb  0.093  0.597  0.254
Tb  0.222  0.222  0.230
Tb  0.244  0.756  0.000
Tb  0.277  0.277  0.960
Tb  0.403  0.907  0.746
Tb  0.597  0.093  0.254
Tb  0.723  0.723  0.040
Tb  0.756  0.244  0.000
Tb  0.778  0.778  0.770
Tb  0.907  0.403  0.746
Sm  0.000  0.000  0.500
Sm  0.008  0.008  0.814
Sm  0.481  0.481  0.642
Sm  0.500  0.500  0.000
Sm  0.519  0.519  0.358
Sm  0.992  0.992  0.186
Tm  0.251  0.251  0.600
Tm  0.749  0.749  0.400

Computed properties:
Excess energy over the best structure of this formula in the dataset (eV/f.u.): 3.193
N(E_F) (states/eV per cell): 25.378
Final energy (eV per atom): -4.122
Energy relative to the elements (eV per atom): 0.520
Total magnetic moment (μB/f.u.): 0.00

---

Please write out number 6 again, unchanged.
This record from the Alexandria database describes a relaxed SnP3C crystal. The functional is PBE.

a = 4.211 Å, b = 4.211 Å, c = 4.211 Å
α = 90.00°, β = 90.00°, γ = 90.00°
Element x y z (fractional)
Sn  0.000  0.000  0.000
P  0.000  0.500  0.500
P  0.500  0.000  0.500
P  0.500  0.500  0.000
C  0.500  0.500  0.500

Computed properties:
Excess energy over the best structure of this formula in the dataset (eV/f.u.): 0.000
N(E_F) (states/eV per cell): 3.064
Final energy (eV per atom): -4.849
Energy relative to the elements (eV per atom): 1.042
Total magnetic moment (μB/f.u.): 0.00